Version a
CaP3Au, relaxed, DFT PBE-GGA; space-group type = No. 221
1.0
4.899 0.000 0.000
0.000 4.899 0.000
0.000 0.000 4.899
Ca P Au
1 3 1
Direct
0.000 0.000 0.000
0.000 0.500 0.500
0.500 0.000 0.500
0.500 0.500 0.000
0.500 0.500 0.500


Version b
CaP3Au, relaxed, DFT PBE-GGA; space-group type = No. 221
1.0
5.146 0.000 0.000
0.000 5.146 0.000
0.000 0.000 5.146
Ca P Au
1 3 1
Direct
0.000 0.000 0.000
0.000 0.000 0.500
0.000 0.500 0.000
0.500 0.000 0.000
0.500 0.500 0.500


How do the structures above rank in stability at the extremes? version a comes first and version b comes last.